No. 1
VASP calculation (PBE) on an optimized crystal structure of BeCo2W.

Cell lengths 4.522, 4.522, 4.522 Å; angles 137.75, 132.29, 65.60 degrees
Positions (direct):
1 Be 0.000 0.000 0.000
2 Co 0.228 0.728 0.500
3 Co 0.489 0.489 0.000
4 W 0.742 0.242 0.500

Calculated values
volume: 45.3 Å³/f.u.
ΔE_f: 7 meV/atom
SG: Imm2
spin magnetization: 0.00 μB/f.u.

No. 2
VASP calculation (PBE) on an optimized crystal structure of Be2CoW.

Cell lengths 3.956, 3.956, 3.956 Å; angles 60.00, 60.00, 60.00 degrees
Positions (direct):
1 Be 0.000 0.000 0.000
2 Be 0.250 0.250 0.250
3 Co 0.500 0.500 0.500
4 W 0.750 0.750 0.750

Calculated values
energy above the lowest structure with this stoichiometry: 65 kJ/mol of formula units
volume: 43.8 Å³/f.u.
ΔE_f: 61 meV/atom
SG: F-43m
spin magnetization: 0.38 μB/f.u.

No. 3
VASP calculation (PBE) on an optimized crystal structure of BeCo2W.

Cell lengths 2.589, 3.834, 4.795 Å; angles 90.00, 104.86, 90.00 degrees
Positions (direct):
1 Be 0.000 0.000 0.000
2 Co 0.306 0.500 0.198
3 Co 0.858 0.000 0.469
4 W 0.407 0.500 0.717

Calculated values
volume: 46.0 Å³/f.u.
ΔE_f: 81 meV/atom
SG: Pm
spin magnetization: 0.00 μB/f.u.

No. 4
VASP calculation (PBE) on an optimized crystal structure of Be2CoW.

Cell lengths 4.456, 4.456, 2.543 Å; angles 98.10, 98.10, 113.09 degrees
Positions (direct):
1 Be 0.000 0.500 0.000
2 Be 0.500 0.000 0.000
3 Co 0.000 0.000 0.500
4 W 0.500 0.500 0.500

Calculated values
energy above the lowest structure with this stoichiometry: 109 kJ/mol of formula units
volume: 44.9 Å³/f.u.
ΔE_f: 174 meV/atom
SG: C2/m
spin magnetization: 0.00 μB/f.u.

No. 5
VASP calculation (PBE) on an optimized crystal structure of Be2CoW.

Cell lengths 3.910, 3.910, 3.910 Å; angles 60.00, 60.00, 60.00 degrees
Positions (direct):
1 Be 0.250 0.250 0.250
2 Be 0.750 0.750 0.750
3 Co 0.000 0.000 0.000
4 W 0.500 0.500 0.500

Calculated values
energy above the lowest structure with this stoichiometry: 100 kJ/mol of formula units
volume: 42.3 Å³/f.u.
ΔE_f: 153 meV/atom
SG: Fm-3m
spin magnetization: 1.46 μB/f.u.

No. 6
VASP calculation (PBE) on an optimized crystal structure of Be2CoW.

Cell lengths 4.926, 4.926, 4.926 Å; angles 103.96, 103.96, 121.17 degrees
Positions (direct):
1 Be 0.093 0.625 0.968
2 Be 0.375 0.343 0.468
3 Be 0.657 0.125 0.032
4 Be 0.875 0.907 0.532
5 Co 0.000 0.000 0.000
6 Co 0.750 0.250 0.500
7 W 0.250 0.750 0.500
8 W 0.500 0.500 0.000

Calculated values
energy above the lowest structure with this stoichiometry: 177 kJ/mol of formula units
volume: 44.5 Å³/f.u.
ΔE_f: 353 meV/atom
SG: I-42d
spin magnetization: 0.00 μB/f.u.

Which formula does entry 6 have? Be2CoW

spin magnetization of number 3 (BeCo2W)? 0.00 μB/f.u.

What is the ΔE_f in the fifth record? 153 meV/atom

Please write out number 3 again, unchanged.
VASP calculation (PBE) on an optimized crystal structure of BeCo2W.

Cell lengths 2.589, 3.834, 4.795 Å; angles 90.00, 104.86, 90.00 degrees
Positions (direct):
1 Be 0.000 0.000 0.000
2 Co 0.306 0.500 0.198
3 Co 0.858 0.000 0.469
4 W 0.407 0.500 0.717

Calculated values
volume: 46.0 Å³/f.u.
ΔE_f: 81 meV/atom
SG: Pm
spin magnetization: 0.00 μB/f.u.